DFT (PBE) results for a geometry-optimized Pa2B3Os structure.

Computed properties:
Crystal system ... orthorhombic
V ... 14.51 A^3/atom
Energy of formation ... -2.615 eV per formula unit
Energy ... -8.81 eV/atom
Space-group type ... Fmmm (69)

Lattice parameters (Å, degrees): 7.353 7.248 5.271 69.91 67.78 42.31
Atoms (fractional coordinates):
Pa1 0.239 0.761 0.239
Pa2 0.250 0.250 0.250
Pa3 0.750 0.750 0.750
Pa4 0.761 0.239 0.761
B1 0.208 0.646 0.792
B2 0.354 0.792 0.646
B3 0.357 0.357 0.643
B4 0.643 0.643 0.357
B5 0.646 0.208 0.354
B6 0.792 0.354 0.208
Os1 0.171 0.171 0.829
Os2 0.829 0.829 0.171



DFT (PBE) results for a geometry-optimized In7SnHg3 structure.

Computed properties:
Crystal system ... monoclinic
V ... 28.36 A^3/atom
Energy of formation ... 0.716 eV per formula unit
Energy ... -2.12 eV/atom
Space-group type ... C2/m (12)

Lattice parameters (Å, degrees): 7.379 7.379 6.300 105.29 105.29 97.33
Atoms (fractional coordinates):
In1 0.000 0.000 0.000
In2 0.083 0.571 0.329
In3 0.317 0.317 0.966
In4 0.429 0.917 0.671
In5 0.571 0.083 0.329
In6 0.683 0.683 0.034
In7 0.917 0.429 0.671
Sn1 0.000 0.000 0.500
Hg1 0.267 0.733 0.000
Hg2 0.500 0.500 0.500
Hg3 0.733 0.267 0.000



DFT (PBE) results for a geometry-optimized VZnSeN2 structure.

Computed properties:
Crystal system ... tetragonal
V ... 15.01 A^3/atom
Formation energy from raw total energies ... 0.197 eV/atom
Energy ... -5.91 eV/atom
Space-group type ... P4/mmm (123)

Lattice parameters (Å, degrees): 3.726 3.726 5.406 90.00 90.00 90.00
Atoms (fractional coordinates):
V1 0.000 0.000 0.000
Zn1 0.500 0.500 0.500
Se1 0.000 0.000 0.500
N1 0.000 0.500 0.000
N2 0.500 0.000 0.000



DFT (PBE) results for a geometry-optimized YCdI2N structure.

Computed properties:
Crystal system ... tetragonal
V ... 29.97 A^3/atom
Formation energy from raw total energies ... 0.392 eV/atom
Energy ... -3.37 eV/atom
Space-group type ... P4/mmm (123)

Lattice parameters (Å, degrees): 6.080 6.080 4.053 90.00 90.00 90.00
Atoms (fractional coordinates):
Y1 0.000 0.000 0.000
Cd1 0.500 0.500 0.500
I1 0.000 0.500 0.500
I2 0.500 0.000 0.500
N1 0.500 0.500 0.000



DFT (PBE) results for a geometry-optimized Ac2Zn2CdPt5 structure.

Computed properties:
Crystal system ... tetragonal
V ... 20.06 A^3/atom
Energy of formation ... -6.952 eV per formula unit
Energy ... -4.88 eV/atom
Space-group type ... P4/mbm (127)

Lattice parameters (Å, degrees): 10.184 10.184 3.870 90.00 90.00 90.00
Atoms (fractional coordinates):
Ac1 0.181 0.319 0.000
Ac2 0.319 0.819 0.000
Ac3 0.681 0.181 0.000
Ac4 0.819 0.681 0.000
Zn1 0.116 0.616 0.000
Zn2 0.384 0.116 0.000
Zn3 0.616 0.884 0.000
Zn4 0.884 0.384 0.000
Cd1 0.000 0.000 0.000
Cd2 0.500 0.500 0.000
Pt1 0.000 0.500 0.500
Pt2 0.061 0.788 0.500
Pt3 0.212 0.061 0.500
Pt4 0.288 0.561 0.500
Pt5 0.439 0.288 0.500
Pt6 0.500 0.000 0.500
Pt7 0.561 0.712 0.500
Pt8 0.712 0.439 0.500
Pt9 0.788 0.939 0.500
Pt10 0.939 0.212 0.500



DFT (PBE) results for a geometry-optimized La8Dy4Tm structure.

Computed properties:
Crystal system ... triclinic
V ... 35.09 A^3/atom
Energy of formation ... 2.162 eV per formula unit
Energy ... -4.63 eV/atom
Space-group type ... P-1 (2)

Lattice parameters (Å, degrees): 7.221 7.225 10.910 70.80 70.76 60.07
Atoms (fractional coordinates):
La1 0.209 0.207 0.372
La2 0.209 0.750 0.286
La3 0.248 0.249 0.714
La4 0.248 0.791 0.714
La5 0.752 0.209 0.286
La6 0.752 0.751 0.286
La7 0.791 0.250 0.714
La8 0.791 0.793 0.628
Dy1 0.000 0.000 0.000
Dy2 0.000 0.500 0.000
Dy3 0.500 0.000 0.000
Dy4 0.500 0.500 0.000
Tm1 0.500 0.500 0.500



DFT (PBE) results for a geometry-optimized CaLaZn2Ni structure.

Computed properties:
Crystal system ... tetragonal
V ... 24.09 A^3/atom
Energy of formation ... -0.776 eV per formula unit
Energy ... -3.21 eV/atom
Space-group type ... P4/mmm (123)

Lattice parameters (Å, degrees): 4.941 4.941 4.934 90.00 90.00 90.00
Atoms (fractional coordinates):
Ca1 0.000 0.000 0.000
La1 0.500 0.500 0.000
Zn1 0.000 0.500 0.500
Zn2 0.500 0.000 0.500
Ni1 0.500 0.500 0.500



DFT (PBE) results for a geometry-optimized AlTlW structure.

Computed properties:
Crystal system ... cubic
V ... 22.54 A^3/atom
Energy of formation ... 3.290 eV per formula unit
Energy ... -5.26 eV/atom
Space-group type ... F-43m (216)

Lattice parameters (Å, degrees): 4.573 4.573 4.573 60.00 60.00 60.00
Atoms (fractional coordinates):
Al1 0.000 0.000 0.000
Tl1 0.500 0.500 0.500
W1 0.250 0.250 0.250



DFT (PBE) results for a geometry-optimized PmMg2Cd4 structure.

Computed properties:
Crystal system ... orthorhombic
V ... 23.83 A^3/atom
Energy of formation ... -1.249 eV per formula unit
Energy ... -1.84 eV/atom
Space-group type ... Immm (71)

Lattice parameters (Å, degrees): 10.478 10.478 10.478 161.56 152.69 33.16
Atoms (fractional coordinates):
Pm1 0.000 0.000 0.000
Mg1 0.296 0.796 0.500
Mg2 0.704 0.204 0.500
Cd1 0.151 0.651 0.500
Cd2 0.426 0.426 0.000
Cd3 0.574 0.574 0.000
Cd4 0.849 0.349 0.500



DFT (PBE) results for a geometry-optimized CuHgI2 structure.

Computed properties:
Crystal system ... trigonal
V ... 36.70 A^3/atom
Formation energy from raw total energies ... 0.010 eV/atom
Energy ... -1.86 eV/atom
Space-group type ... R-3m (166)

Lattice parameters (Å, degrees): 11.167 11.167 11.167 20.31 20.31 20.31
Atoms (fractional coordinates):
Cu1 0.000 0.000 0.000
Hg1 0.500 0.500 0.500
I1 0.382 0.382 0.382
I2 0.618 0.618 0.618



DFT (PBE) results for a geometry-optimized GdY2Cd structure.

Computed properties:
Crystal system ... tetragonal
V ... 28.99 A^3/atom
Energy of formation ... -0.426 eV per formula unit
Energy ... -7.09 eV/atom
Space-group type ... P4/mmm (123)

Lattice parameters (Å, degrees): 4.903 4.903 4.823 90.00 90.00 90.00
Atoms (fractional coordinates):
Gd1 0.000 0.000 0.000
Y1 0.000 0.500 0.500
Y2 0.500 0.000 0.500
Cd1 0.500 0.500 0.000



DFT (PBE) results for a geometry-optimized Li2Zn5Cu structure.

Computed properties:
Crystal system ... orthorhombic
V ... 14.18 A^3/atom
Energy of formation ... -0.964 eV per formula unit
Energy ... -1.91 eV/atom
Space-group type ... Pbam (55)

Lattice parameters (Å, degrees): 5.416 10.631 3.940 90.00 90.00 90.00
Atoms (fractional coordinates):
Li1 0.239 0.127 0.000
Li2 0.261 0.627 0.000
Li3 0.739 0.373 0.000
Li4 0.761 0.873 0.000
Zn1 0.000 0.000 0.500
Zn2 0.015 0.746 0.500
Zn3 0.233 0.381 0.000
Zn4 0.267 0.881 0.000
Zn5 0.485 0.246 0.500
Zn6 0.500 0.500 0.500
Zn7 0.515 0.754 0.500
Zn8 0.733 0.119 0.000
Zn9 0.767 0.619 0.000
Zn10 0.985 0.254 0.500
Cu1 0.000 0.500 0.500
Cu2 0.500 0.000 0.500



DFT (PBE) results for a geometry-optimized NdAlIr2 structure.

Computed properties:
Crystal system ... trigonal
V ... 20.67 A^3/atom
Energy of formation ... -2.301 eV per formula unit
Energy ... -7.13 eV/atom
Space-group type ... R-3m (166)

Lattice parameters (Å, degrees): 5.590 5.590 5.590 46.08 46.08 46.08
Atoms (fractional coordinates):
Nd1 0.000 0.000 0.000
Al1 0.500 0.500 0.500
Ir1 0.199 0.199 0.199
Ir2 0.801 0.801 0.801



DFT (PBE) results for a geometry-optimized Mn3TcRh12 structure.

Computed properties:
Crystal system ... tetragonal
V ... 13.95 A^3/atom
Energy of formation ... -1.914 eV per formula unit
Energy ... -8.00 eV/atom
Space-group type ... P4/mmm (123)

Lattice parameters (Å, degrees): 3.819 3.819 15.303 90.00 90.00 90.00
Atoms (fractional coordinates):
Mn1 0.000 0.000 0.000
Mn2 0.000 0.000 0.245
Mn3 0.000 0.000 0.755
Tc1 0.000 0.000 0.500
Rh1 0.000 0.500 0.123
Rh2 0.000 0.500 0.376
Rh3 0.000 0.500 0.624
Rh4 0.000 0.500 0.877
Rh5 0.500 0.000 0.123
Rh6 0.500 0.000 0.376
Rh7 0.500 0.000 0.624
Rh8 0.500 0.000 0.877
Rh9 0.500 0.500 0.000
Rh10 0.500 0.500 0.250
Rh11 0.500 0.500 0.500
Rh12 0.500 0.500 0.750



DFT (PBE) results for a geometry-optimized CsNiOs structure.

Computed properties:
Crystal system ... triclinic
V ... 31.35 A^3/atom
Energy of formation ... 1.383 eV per formula unit
Energy ... -5.49 eV/atom
Space-group type ... P-1 (2)

Lattice parameters (Å, degrees): 4.234 4.235 12.217 96.01 90.89 119.99
Atoms (fractional coordinates):
Cs1 0.244 0.459 0.288
Cs2 0.756 0.541 0.712
Ni1 0.476 0.959 0.905
Ni2 0.524 0.041 0.095
Os1 0.166 0.332 0.996
Os2 0.834 0.668 0.004



DFT (PBE) results for a geometry-optimized Ho3ThTl4 structure.

Computed properties:
Crystal system ... orthorhombic
V ... 27.68 A^3/atom
Energy of formation ... -2.060 eV per formula unit
Energy ... -4.08 eV/atom
Space-group type ... Pmma (51)

Lattice parameters (Å, degrees): 10.872 7.360 5.534 90.00 90.00 90.00
Atoms (fractional coordinates):
Ho1 0.000 0.000 0.000
Ho2 0.250 0.000 0.434
Ho3 0.250 0.500 0.439
Ho4 0.500 0.000 0.000
Ho5 0.750 0.000 0.566
Ho6 0.750 0.500 0.561
Th1 0.000 0.500 0.000
Th2 0.500 0.500 0.000
Tl1 0.000 0.240 0.500
Tl2 0.000 0.760 0.500
Tl3 0.250 0.240 0.930
Tl4 0.250 0.760 0.930
Tl5 0.500 0.240 0.500
Tl6 0.500 0.760 0.500
Tl7 0.750 0.240 0.070
Tl8 0.750 0.760 0.070



DFT (PBE) results for a geometry-optimized RbNaCd2 structure.

Computed properties:
Crystal system ... tetragonal
V ... 36.59 A^3/atom
Energy of formation ... 0.203 eV per formula unit
Energy ... -0.98 eV/atom
Space-group type ... P4/mmm (123)

Lattice parameters (Å, degrees): 5.458 5.458 4.914 90.00 90.00 90.00
Atoms (fractional coordinates):
Rb1 0.000 0.000 0.000
Na1 0.500 0.500 0.000
Cd1 0.000 0.500 0.500
Cd2 0.500 0.000 0.500



DFT (PBE) results for a geometry-optimized SrCa4Hg structure.

Computed properties:
Crystal system ... tetragonal
V ... 38.95 A^3/atom
Energy of formation ... -1.073 eV per formula unit
Energy ... -1.84 eV/atom
Space-group type ... P4/mmm (123)

Lattice parameters (Å, degrees): 3.889 3.889 15.453 90.00 90.00 90.00
Atoms (fractional coordinates):
Sr1 0.000 0.000 0.000
Ca1 0.000 0.000 0.384
Ca2 0.000 0.000 0.616
Ca3 0.500 0.500 0.199
Ca4 0.500 0.500 0.801
Hg1 0.500 0.500 0.500



DFT (PBE) results for a geometry-optimized GdThS2 structure.

Computed properties:
Crystal system ... trigonal
V ... 22.65 A^3/atom
Formation energy from raw total energies ... -1.946 eV/atom
Energy ... -9.39 eV/atom
Space-group type ... R-3m (166)

Lattice parameters (Å, degrees): 7.096 7.096 7.096 32.28 32.28 32.28
Atoms (fractional coordinates):
Gd1 0.000 0.000 0.000
Th1 0.500 0.500 0.500
S1 0.254 0.254 0.254
S2 0.746 0.746 0.746



DFT (PBE) results for a geometry-optimized CsBaNa4 structure.

Computed properties:
Crystal system ... cubic
V ... 50.21 A^3/atom
Energy of formation ... 0.249 eV per formula unit
Energy ... -1.30 eV/atom
Space-group type ... F-43m (216)

Lattice parameters (Å, degrees): 7.525 7.525 7.525 60.00 60.00 60.00
Atoms (fractional coordinates):
Cs1 0.000 0.000 0.000
Ba1 0.750 0.750 0.750
Na1 0.376 0.376 0.376
Na2 0.376 0.376 0.871
Na3 0.376 0.871 0.376
Na4 0.871 0.376 0.376



DFT (PBE) results for a geometry-optimized PmTmOs structure.

Computed properties:
Crystal system ... monoclinic
V ... 26.05 A^3/atom
Energy of formation ... -0.171 eV per formula unit
Energy ... -6.87 eV/atom
Space-group type ... P2_1/c (14)

Lattice parameters (Å, degrees): 6.825 6.873 8.463 90.00 128.04 90.00
Atoms (fractional coordinates):
Pm1 0.227 0.169 0.428
Pm2 0.227 0.331 0.928
Pm3 0.773 0.669 0.072
Pm4 0.773 0.831 0.572
Tm1 0.276 0.667 0.574
Tm2 0.276 0.833 0.074
Tm3 0.724 0.167 0.926
Tm4 0.724 0.333 0.426
Os1 0.268 0.509 0.263
Os2 0.268 0.991 0.763
Os3 0.732 0.009 0.237
Os4 0.732 0.491 0.737



DFT (PBE) results for a geometry-optimized KZrTa2 structure.

Computed properties:
Crystal system ... tetragonal
V ... 21.84 A^3/atom
Energy of formation ... 5.019 eV per formula unit
Energy ... -7.08 eV/atom
Space-group type ... I-4m2 (119)

Lattice parameters (Å, degrees): 4.961 4.961 4.961 119.19 119.19 91.41
Atoms (fractional coordinates):
K1 0.000 0.000 0.000
Zr1 0.250 0.750 0.500
Ta1 0.500 0.500 0.000
Ta2 0.750 0.250 0.500



DFT (PBE) results for a geometry-optimized ZnCu14Ir structure.

Computed properties:
Crystal system ... orthorhombic
V ... 12.28 A^3/atom
Energy of formation ... -0.038 eV per formula unit
Energy ... -4.22 eV/atom
Space-group type ... Amm2 (38)

Lattice parameters (Å, degrees): 8.450 5.192 5.192 59.61 90.00 90.00
Atoms (fractional coordinates):
Zn1 0.000 0.000 0.000
Cu1 0.000 0.501 0.999
Cu2 0.000 0.999 0.501
Cu3 0.251 0.167 0.167
Cu4 0.253 0.666 0.666
Cu5 0.255 0.165 0.665
Cu6 0.255 0.665 0.165
Cu7 0.500 0.330 0.330
Cu8 0.500 0.330 0.833
Cu9 0.500 0.831 0.831
Cu10 0.500 0.833 0.330
Cu11 0.745 0.165 0.665
Cu12 0.745 0.665 0.165
Cu13 0.747 0.666 0.666
Cu14 0.749 0.167 0.167
Ir1 0.000 0.500 0.500